No. 1
ZrCrSi2 | meta-GGA SCAN | single point on PBEsol structure

Cell and atoms, written as POSCAR:
```
ZrCrSi2
1.0
2.9850 0.0526 0.0713
-0.5247 4.5679 0.0072
-0.5247 -1.3425 4.3662
Si Zr Cr
2 1 1
direct
0.0000 0.5000 0.0000
0.0000 0.0000 0.5000
0.5000 0.5000 0.5000
0.5000 0.0000 0.0000
```

Values from the calculation:
- energy relative to the lowest polymorph listed for this composition (meV/atom) = 467
- SG = C2/m, No. 12
- Fermi-level density of states (states/eV per cell) = 2.8
- calculated total energy (eV per formula unit) = -69.679


No. 2
Ga10GePb3O20 | meta-GGA SCAN | single point on PBEsol structure

Cell and atoms, written as POSCAR:
```
Ga10GePb3O20
1.0
5.1196 0.0005 0.0004
2.5378 9.4214 -0.0166
2.5378 2.1435 9.1744
O Ga Ge Pb
20 10 1 3
direct
0.1318 0.1231 0.3957
0.6952 0.9037 0.9037
0.7294 0.1728 0.6615
0.2427 0.5447 0.3160
0.7573 0.6840 0.4553
0.1318 0.3957 0.1231
0.8682 0.8769 0.6043
0.2706 0.3385 0.8272
0.7573 0.4553 0.6840
0.2507 0.5673 0.5673
0.3048 0.0963 0.0963
0.7395 0.9919 0.2797
0.2605 0.0081 0.7203
0.8682 0.6043 0.8769
0.7493 0.4327 0.4327
0.2605 0.7203 0.0081
0.2427 0.3160 0.5447
0.7395 0.2797 0.9919
0.7294 0.6615 0.1728
0.2706 0.8272 0.3385
0.3755 0.2787 0.0065
0.5000 0.6329 0.3671
0.8946 0.4217 0.8497
0.1054 0.1503 0.5783
0.1054 0.5783 0.1503
0.6245 0.7213 0.9935
0.3755 0.0065 0.2787
0.6245 0.9935 0.7213
0.5000 0.3671 0.6329
0.8946 0.8497 0.4217
0.0000 0.5000 0.5000
0.0000 0.0000 0.0000
0.2176 0.7243 0.7243
0.7824 0.2757 0.2757
```

Values from the calculation:
- SG = C2/m, No. 12
- Fermi-level density of states (states/eV per cell) = 0.0
- calculated total energy (eV per formula unit) = -599.010


No. 3
ZrRuPt3 | meta-GGA SCAN | single point on PBEsol structure

Cell and atoms, written as POSCAR:
```
ZrRuPt3
1.0
4.7751 0.0000 0.0000
0.0000 4.7751 0.0000
0.0000 0.0000 4.7751
Ru Pt Zr
1 3 1
direct
0.5000 0.5000 0.5000
0.0000 0.0000 0.5000
0.0000 0.5000 0.0000
0.5000 0.0000 0.0000
0.0000 0.0000 0.0000
```

Values from the calculation:
- formation energy from the elements (eV per atom) = 1.27
- SG = Pm-3m, No. 221
- Fermi-level density of states (states/eV per cell) = 3.3
- calculated total energy (eV per formula unit) = -269.778


No. 4
ZnHgMo2 | meta-GGA SCAN | single point on PBEsol structure

Cell and atoms, written as POSCAR:
```
ZnHgMo2
1.0
3.7850 0.0000 0.0000
0.0000 3.7850 0.0000
0.0000 0.0000 4.3988
Zn Mo Hg
1 2 1
direct
0.5000 0.5000 0.5000
0.0000 0.5000 0.0000
0.5000 0.0000 0.0000
0.0000 0.0000 0.5000
```

Values from the calculation:
- formation energy from the elements (eV per atom) = 0.33
- SG = P4/mmm, No. 123
- Fermi-level density of states (states/eV per cell) = 1.7
- calculated total energy (eV per formula unit) = -150.116


No. 5
MgSiOs2 | meta-GGA SCAN | single point on PBEsol structure

Cell and atoms, written as POSCAR:
```
MgSiOs2
1.0
-1.2747 2.6502 -0.5939
-3.8233 -1.7374 0.4533
0.0565 0.9494 4.1154
Si Os Mg
1 2 1
direct
0.5000 0.5000 0.5000
0.0000 0.0000 0.5000
0.0000 0.5000 0.0000
0.5000 0.0000 0.0000
```

Values from the calculation:
- SG = P4/mmm, No. 123
- Fermi-level density of states (states/eV per cell) = 2.8
- calculated total energy (eV per formula unit) = -159.125


No. 6
K2LaP | meta-GGA SCAN | single point on PBEsol structure

Cell and atoms, written as POSCAR:
```
K2LaP
1.0
4.4157 0.0032 0.0000
-0.1348 4.4137 0.0000
-2.1404 -2.2084 6.6494
K P La
2 1 1
direct
0.5000 0.0000 0.5000
0.0000 0.5000 0.5000
0.5000 0.5000 0.0000
0.0000 0.0000 0.0000
```

Values from the calculation:
- formation energy from the elements (eV per atom) = -0.15
- SG = Fmmm, No. 69
- Fermi-level density of states (states/eV per cell) = 2.9
- calculated total energy (eV per formula unit) = -70.767


No. 7
TaCr2Ag | meta-GGA SCAN | single point on PBEsol structure

Cell and atoms, written as POSCAR:
```
TaCr2Ag
1.0
2.6119 0.0000 0.0000
0.0000 4.8529 -0.1029
0.0000 -1.6894 4.5505
Ta Cr Ag
1 2 1
direct
0.5000 0.0000 0.0000
0.0000 0.0000 0.5000
0.0000 0.5000 0.0000
0.5000 0.5000 0.5000
```

Values from the calculation:
- energy relative to the lowest polymorph listed for this composition (meV/atom) = 315
- formation energy from the elements (eV per atom) = 0.65
- SG = Cmmm, No. 65
- Fermi-level density of states (states/eV per cell) = 4.3
- calculated total energy (eV per formula unit) = -132.112


No. 8
Sc2SnCl | meta-GGA SCAN | single point on PBEsol structure

Cell and atoms, written as POSCAR:
```
Sc2SnCl
1.0
4.3954 0.0000 0.0000
2.1977 3.8065 0.0000
2.1977 1.2688 7.4138
Sn Sc Cl
1 2 1
direct
0.5000 0.5000 0.5000
0.8897 0.8897 0.3309
0.1103 0.1103 0.6691
0.0000 0.0000 0.0000
```

Values from the calculation:
- SG = R-3m, No. 166
- Fermi-level density of states (states/eV per cell) = 3.3
- calculated total energy (eV per formula unit) = -76.109


> Which of these has the lowest calculated total energy?

Ga10GePb3O20


> Which formula does entry 4 have?

ZnHgMo2